[1]
# KSiSCl2 | the Alexandria database | PBE-GGA | relaxed
# Distance to the lowest polymorph of the same formula   1.3810 eV/atom
# E_form (uncorrected)   2.50 eV/f.u.
# Fermi-level density of states   4.1 states/eV/f.u.
data_KSiSCl2
_chemical_formula_sum 'K1 Si1 S1 Cl2'
_cell_length_a 5.4772
_cell_length_b 5.4772
_cell_length_c 5.6400
_cell_angle_alpha 90.00
_cell_angle_beta 90.00
_cell_angle_gamma 90.00
_space_group_name_H-M_alt 'P 4/m m m'
_space_group_IT_number 123
_space_group_name_Hall '-P 4 2'
loop_
_atom_site_label
_atom_site_type_symbol
_atom_site_fract_x
_atom_site_fract_y
_atom_site_fract_z
K1 K 0.0000 0.0000 0.0000
Si1 Si 0.5000 0.5000 0.5000
S1 S 0.0000 0.0000 0.5000
Cl1 Cl 0.0000 0.5000 0.0000

[2]
# KSiSCl2 | the Alexandria database | PBE-GGA | relaxed
# Distance to the lowest polymorph of the same formula   0.0000 eV/atom
# E_form (uncorrected)   -4.40 eV/f.u.
# Fermi-level density of states   0.8 states/eV/f.u.
data_KSiSCl2
_chemical_formula_sum 'K1 Si1 S1 Cl2'
_cell_length_a 5.1151
_cell_length_b 5.1151
_cell_length_c 4.5197
_cell_angle_alpha 90.00
_cell_angle_beta 90.00
_cell_angle_gamma 90.00
_space_group_name_H-M_alt 'P 4/m m m'
_space_group_IT_number 123
_space_group_name_Hall '-P 4 2'
loop_
_atom_site_label
_atom_site_type_symbol
_atom_site_fract_x
_atom_site_fract_y
_atom_site_fract_z
K1 K 0.0000 0.0000 0.0000
Si1 Si 0.5000 0.5000 0.5000
S1 S 0.5000 0.5000 0.0000
Cl1 Cl 0.0000 0.5000 0.5000

[3]
# KSiS2Cl | the Alexandria database | PBE-GGA | relaxed
# Distance to the lowest polymorph of the same formula   0.0000 eV/atom
# E_form (uncorrected)   -3.21 eV/f.u.
# Fermi-level density of states   0.5 states/eV/f.u.
data_KSiS2Cl
_chemical_formula_sum 'K1 Si1 S2 Cl1'
_cell_length_a 4.5512
_cell_length_b 4.5512
_cell_length_c 5.3671
_cell_angle_alpha 90.00
_cell_angle_beta 90.00
_cell_angle_gamma 90.00
_space_group_name_H-M_alt 'P 4/m m m'
_space_group_IT_number 123
_space_group_name_Hall '-P 4 2'
loop_
_atom_site_label
_atom_site_type_symbol
_atom_site_fract_x
_atom_site_fract_y
_atom_site_fract_z
K1 K 0.0000 0.0000 0.0000
Si1 Si 0.5000 0.5000 0.5000
S1 S 0.0000 0.5000 0.5000
Cl1 Cl 0.5000 0.5000 0.0000

[4]
# K5SiS4Cl2 | the Alexandria database | PBE-GGA | relaxed
# E_form (uncorrected)   -15.44 eV/f.u.
data_K5SiS4Cl2
_chemical_formula_sum 'K10 Si2 S8 Cl4'
_cell_length_a 9.4443
_cell_length_b 10.6242
_cell_length_c 7.5873
_cell_angle_alpha 90.00
_cell_angle_beta 90.00
_cell_angle_gamma 90.00
_space_group_name_H-M_alt 'A m m 2'
_space_group_IT_number 38
_space_group_name_Hall 'A 2 -2'
loop_
_atom_site_label
_atom_site_type_symbol
_atom_site_fract_x
_atom_site_fract_y
_atom_site_fract_z
K1 K 0.0000 0.0000 0.0000
K2 K 0.2594 0.2027 0.4713
Si1 Si 0.5000 0.0000 0.9878
S1 S 0.3139 0.0000 0.1412
S2 S 0.5000 0.1375 0.7769
Cl1 Cl 0.0000 0.2204 0.7263

[5]
# KSiS2Cl | the Alexandria database | PBE-GGA | relaxed
# Distance to the lowest polymorph of the same formula   1.6325 eV/atom
# E_form (uncorrected)   4.95 eV/f.u.
# Fermi-level density of states   5.6 states/eV/f.u.
data_KSiS2Cl
_chemical_formula_sum 'K1 Si1 S2 Cl1'
_cell_length_a 5.5416
_cell_length_b 5.5416
_cell_length_c 5.4110
_cell_angle_alpha 90.00
_cell_angle_beta 90.00
_cell_angle_gamma 90.00
_space_group_name_H-M_alt 'P 4/m m m'
_space_group_IT_number 123
_space_group_name_Hall '-P 4 2'
loop_
_atom_site_label
_atom_site_type_symbol
_atom_site_fract_x
_atom_site_fract_y
_atom_site_fract_z
K1 K 0.0000 0.0000 0.0000
Si1 Si 0.5000 0.5000 0.5000
S1 S 0.0000 0.5000 0.0000
Cl1 Cl 0.0000 0.0000 0.5000

[6]
# KSmSCl | the Alexandria database | PBE-GGA | relaxed
# E_form (uncorrected)   -6.72 eV/f.u.
# Fermi-level density of states   2.3 states/eV/f.u.
data_KSmSCl
_chemical_formula_sum 'K3 Sm3 S3 Cl3'
_cell_length_a 4.0240
_cell_length_b 4.0240
_cell_length_c 23.2138
_cell_angle_alpha 90.00
_cell_angle_beta 90.00
_cell_angle_gamma 120.00
_space_group_name_H-M_alt 'R 3 m'
_space_group_IT_number 160
_space_group_name_Hall 'R 3 -2"'
loop_
_atom_site_label
_atom_site_type_symbol
_atom_site_fract_x
_atom_site_fract_y
_atom_site_fract_z
K1 K 0.0000 0.0000 0.0000
Sm1 Sm 0.0000 0.0000 0.8172
S1 S 0.0000 0.0000 0.4183
Cl1 Cl 0.0000 0.0000 0.2305

[7]
# KSnSCl2 | the Alexandria database | PBE-GGA | relaxed
# Distance to the lowest polymorph of the same formula   0.9163 eV/atom
# E_form (uncorrected)   -0.57 eV/f.u.
# Fermi-level density of states   3.2 states/eV/f.u.
data_KSnSCl2
_chemical_formula_sum 'K1 Sn1 S1 Cl2'
_cell_length_a 5.4443
_cell_length_b 5.4443
_cell_length_c 5.6171
_cell_angle_alpha 90.00
_cell_angle_beta 90.00
_cell_angle_gamma 90.00
_space_group_name_H-M_alt 'P 4/m m m'
_space_group_IT_number 123
_space_group_name_Hall '-P 4 2'
loop_
_atom_site_label
_atom_site_type_symbol
_atom_site_fract_x
_atom_site_fract_y
_atom_site_fract_z
K1 K 0.0000 0.0000 0.0000
Sn1 Sn 0.5000 0.5000 0.5000
S1 S 0.0000 0.0000 0.5000
Cl1 Cl 0.0000 0.5000 0.0000

[8]
# KSnS2Cl | the Alexandria database | PBE-GGA | relaxed
# Distance to the lowest polymorph of the same formula   0.0000 eV/atom
# E_form (uncorrected)   -3.47 eV/f.u.
# Fermi-level density of states   0.5 states/eV/f.u.
data_KSnS2Cl
_chemical_formula_sum 'K1 Sn1 S2 Cl1'
_cell_length_a 5.0342
_cell_length_b 5.0342
_cell_length_c 5.5098
_cell_angle_alpha 90.00
_cell_angle_beta 90.00
_cell_angle_gamma 90.00
_space_group_name_H-M_alt 'P 4/m m m'
_space_group_IT_number 123
_space_group_name_Hall '-P 4 2'
loop_
_atom_site_label
_atom_site_type_symbol
_atom_site_fract_x
_atom_site_fract_y
_atom_site_fract_z
K1 K 0.0000 0.0000 0.0000
Sn1 Sn 0.5000 0.5000 0.5000
S1 S 0.0000 0.5000 0.5000
Cl1 Cl 0.5000 0.5000 0.0000

[9]
# KSnSCl2 | the Alexandria database | PBE-GGA | relaxed
# Distance to the lowest polymorph of the same formula   0.0000 eV/atom
# E_form (uncorrected)   -5.15 eV/f.u.
# Fermi-level density of states   0.7 states/eV/f.u.
data_KSnSCl2
_chemical_formula_sum 'K1 Sn1 S1 Cl2'
_cell_length_a 5.4820
_cell_length_b 5.4820
_cell_length_c 5.0008
_cell_angle_alpha 90.00
_cell_angle_beta 90.00
_cell_angle_gamma 90.00
_space_group_name_H-M_alt 'P 4/m m m'
_space_group_IT_number 123
_space_group_name_Hall '-P 4 2'
loop_
_atom_site_label
_atom_site_type_symbol
_atom_site_fract_x
_atom_site_fract_y
_atom_site_fract_z
K1 K 0.0000 0.0000 0.0000
Sn1 Sn 0.5000 0.5000 0.5000
S1 S 0.5000 0.5000 0.0000
Cl1 Cl 0.0000 0.5000 0.5000

[10]
# KSnS2Cl | the Alexandria database | PBE-GGA | relaxed
# Distance to the lowest polymorph of the same formula   1.0949 eV/atom
# E_form (uncorrected)   2.00 eV/f.u.
# Fermi-level density of states   5.4 states/eV/f.u.
data_KSnS2Cl
_chemical_formula_sum 'K1 Sn1 S2 Cl1'
_cell_length_a 5.4832
_cell_length_b 5.4832
_cell_length_c 5.4173
_cell_angle_alpha 90.00
_cell_angle_beta 90.00
_cell_angle_gamma 90.00
_space_group_name_H-M_alt 'P 4/m m m'
_space_group_IT_number 123
_space_group_name_Hall '-P 4 2'
loop_
_atom_site_label
_atom_site_type_symbol
_atom_site_fract_x
_atom_site_fract_y
_atom_site_fract_z
K1 K 0.0000 0.0000 0.0000
Sn1 Sn 0.5000 0.5000 0.5000
S1 S 0.0000 0.5000 0.0000
Cl1 Cl 0.0000 0.0000 0.5000

[11]
# KSrSCl2 | the Alexandria database | PBE-GGA | relaxed
# Distance to the lowest polymorph of the same formula   0.4858 eV/atom
# E_form (uncorrected)   -5.31 eV/f.u.
# Fermi-level density of states   2.6 states/eV/f.u.
data_KSrSCl2
_chemical_formula_sum 'K1 Sr1 S1 Cl2'
_cell_length_a 5.4812
_cell_length_b 5.4812
_cell_length_c 5.6181
_cell_angle_alpha 90.00
_cell_angle_beta 90.00
_cell_angle_gamma 90.00
_space_group_name_H-M_alt 'P 4/m m m'
_space_group_IT_number 123
_space_group_name_Hall '-P 4 2'
loop_
_atom_site_label
_atom_site_type_symbol
_atom_site_fract_x
_atom_site_fract_y
_atom_site_fract_z
K1 K 0.0000 0.0000 0.0000
Sr1 Sr 0.5000 0.5000 0.5000
S1 S 0.0000 0.0000 0.5000
Cl1 Cl 0.0000 0.5000 0.0000

[12]
# KSrSCl2 | the Alexandria database | PBE-GGA | relaxed
# Distance to the lowest polymorph of the same formula   0.0000 eV/atom
# E_form (uncorrected)   -7.74 eV/f.u.
# Fermi-level density of states   6.6 states/eV/f.u.
data_KSrSCl2
_chemical_formula_sum 'K1 Sr1 S1 Cl2'
_cell_length_a 5.6854
_cell_length_b 5.6854
_cell_length_c 5.8384
_cell_angle_alpha 90.00
_cell_angle_beta 90.00
_cell_angle_gamma 90.00
_space_group_name_H-M_alt 'P 4/m m m'
_space_group_IT_number 123
_space_group_name_Hall '-P 4 2'
loop_
_atom_site_label
_atom_site_type_symbol
_atom_site_fract_x
_atom_site_fract_y
_atom_site_fract_z
K1 K 0.0000 0.0000 0.0000
Sr1 Sr 0.5000 0.5000 0.5000
S1 S 0.5000 0.5000 0.0000
Cl1 Cl 0.0000 0.5000 0.5000